A geometry-optimized LaSiH structure. Source: the Alexandria database, functional PBE-GGA.

The structure belongs to space group Cmcm (No. 63); the cell edges are 4.309, 12.254 and 4.044 Å and the angles 90.00°, 90.00° and 90.00°. The inequivalent atoms are La at (0.000, 0.146, 0.250), Si at (0.000, 0.446, 0.250) and H at (0.000, 0.256, 0.750).

Its total energy is -5.312 eV/atom.

A geometry-optimized HfCr2ReHg structure. Source: the Alexandria database, functional PBE-GGA.

The structure belongs to space group P4/mmm (No. 123); the cell edges are 4.553, 4.553 and 5.178 Å and the angles 90.00°, 90.00° and 90.00°. The inequivalent atoms are Hf at (0.000, 0.000, 0.000), Cr at (0.000, 0.500, 0.500), Re at (0.500, 0.500, 0.500) and Hg at (0.500, 0.500, 0.000).

Its formation energy is 1287 meV per atom. Its total energy is -7.103 eV/atom.

A geometry-optimized Dy2ScCd structure. Source: the Alexandria database, functional PBE-GGA.

The structure belongs to space group R-3m (No. 166, hexagonal axes); the cell edges are 3.4865, 3.4865 and 31.7639 Å and the angles 90.00°, 90.00° and 120.00°. The inequivalent atoms are Dy at (0.0000, 0.0000, 0.2482), Sc at (0.0000, 0.0000, 0.0000) and Cd at (0.0000, 0.0000, 0.5000).

Its formation energy is -37 meV per atom. Its total energy is -4.150 eV/atom. The calculation puts the excess energy over the best structure of this formula in the dataset at 89.9 meV per atom.

A geometry-optimized La2CoOs structure. Source: the Alexandria database, functional PBE-GGA.

The structure belongs to space group Pm (No. 6); the cell edges are 4.398, 4.266 and 5.682 Å and the angles 90.00°, 112.66° and 90.00°. The inequivalent atoms are La at (0.000, 0.000, 0.000), La at (0.291, 0.500, 0.582), Co at (0.596, 0.500, 0.193) and Os at (0.693, 0.000, 0.384).

Its formation energy is -60 meV per atom. Its total energy is -7.108 eV/atom.